No. 1
A geometry-optimized BaSb structure. Source: Alexandria via LeMat-Bulk, functional PBE.

## Properties
calculated volume: 44.81 Å³ per atom
size of the total moment: 0.000 μB/f.u.
total DFT energy (no corrections): -3.161 eV/atom
N(E_F): 1.1464 states/eV/atom

```
data_BaSb
_chemical_formula_sum 'Ba6 Sb6'
_cell_length_a 4.3616
_cell_length_b 4.3616
_cell_length_c 32.6369
_cell_angle_alpha 90.00
_cell_angle_beta 90.00
_cell_angle_gamma 120.00
_space_group_name_H-M_alt 'R -3 m'
_space_group_IT_number 166
_space_group_name_Hall '-R 3 2"'
loop_
_atom_site_label
_atom_site_fract_x
_atom_site_fract_y
_atom_site_fract_z
Ba1 0.0000 0.0000 0.1073
Sb1 0.0000 0.0000 0.3600
```

---

No. 2
A geometry-optimized BaSb structure. Source: Alexandria via LeMat-Bulk, functional PBE.

## Properties
calculated volume: 43.00 Å³ per atom
size of the total moment: 0.000 μB/f.u.
total DFT energy (no corrections): -3.834 eV/atom
N(E_F): 0.3128 states/eV/atom

```
data_BaSb
_chemical_formula_sum 'Ba4 Sb4'
_cell_length_a 6.965
_cell_length_b 6.965
_cell_length_c 7.091
_cell_angle_alpha 90.00
_cell_angle_beta 90.00
_cell_angle_gamma 90.00
_space_group_name_H-M_alt 'P 42/m n m'
_space_group_IT_number 136
_space_group_name_Hall '-P 4n 2n'
loop_
_atom_site_label
_atom_site_fract_x
_atom_site_fract_y
_atom_site_fract_z
Ba1 0.193 0.193 0.000
Sb1 0.153 0.153 0.500
```

---

No. 3
A geometry-optimized Ba2Sb structure. Source: Alexandria via LeMat-Bulk, functional PBE.

## Properties
calculated volume: 47.40 Å³ per atom
size of the total moment: 0.000 μB/f.u.
total DFT energy (no corrections): -3.497 eV/atom
N(E_F): 0.8374 states/eV/atom

```
data_Ba2Sb
_chemical_formula_sum 'Ba8 Sb4'
_cell_length_a 8.285
_cell_length_b 8.285
_cell_length_c 8.285
_cell_angle_alpha 90.00
_cell_angle_beta 90.00
_cell_angle_gamma 90.00
_space_group_name_H-M_alt 'F m -3 m'
_space_group_IT_number 225
_space_group_name_Hall '-F 4 2 3'
loop_
_atom_site_label
_atom_site_fract_x
_atom_site_fract_y
_atom_site_fract_z
Ba1 0.250 0.250 0.250
Sb1 0.000 0.000 0.000
```

---

No. 4
A geometry-optimized BaSb structure. Source: Alexandria via LeMat-Bulk, functional PBE.

## Properties
calculated volume: 42.43 Å³ per atom
size of the total moment: 0.241 μB/f.u.
total DFT energy (no corrections): -3.893 eV/atom
N(E_F): 0.5887 states/eV/atom

```
data_BaSb
_chemical_formula_sum 'Ba6 Sb6'
_cell_length_a 12.446
_cell_length_b 5.104
_cell_length_c 8.398
_cell_angle_alpha 90.00
_cell_angle_beta 107.34
_cell_angle_gamma 90.00
_space_group_name_H-M_alt 'C 1 m 1'
_space_group_IT_number 8
loop_
_space_group_symop_operation_xyz
'x,y,z'
'x,-y,z'
'x+1/2,y+1/2,z'
'x+1/2,-y+1/2,z'
loop_
_atom_site_label
_atom_site_fract_x
_atom_site_fract_y
_atom_site_fract_z
Ba1 0.000 0.000 0.000
Ba2 0.154 0.500 0.703
Ba3 0.325 0.500 0.348
Sb1 0.014 0.500 0.290
Sb2 0.283 0.000 0.990
Sb3 0.362 0.000 0.693
```

---

No. 5
A geometry-optimized Ba6Sb7 structure. Source: Alexandria via LeMat-Bulk, functional PBE.

## Properties
calculated volume: 43.44 Å³ per atom
size of the total moment: 0.000 μB/f.u.
total DFT energy (no corrections): -3.721 eV/atom
N(E_F): 0.2678 states/eV/atom

```
data_Ba6Sb7
_chemical_formula_sum 'Ba18 Sb21'
_cell_length_a 6.6334
_cell_length_b 6.6334
_cell_length_c 44.4537
_cell_angle_alpha 90.00
_cell_angle_beta 90.00
_cell_angle_gamma 120.00
_space_group_name_H-M_alt 'R -3 m'
_space_group_IT_number 166
_space_group_name_Hall '-R 3 2"'
loop_
_atom_site_label
_atom_site_fract_x
_atom_site_fract_y
_atom_site_fract_z
Ba1 0.0000 0.0000 0.0921
Ba2 0.0000 0.0000 0.1994
Ba3 0.0000 0.0000 0.3349
Sb1 0.0000 0.0000 0.5000
Sb2 0.0034 0.5017 0.9341
```

---

No. 6
A geometry-optimized BaSb7 structure. Source: Alexandria via LeMat-Bulk, functional PBE.

## Properties
calculated volume: 29.21 Å³ per atom
size of the total moment: 0.000 μB/f.u.
total DFT energy (no corrections): -3.865 eV/atom
N(E_F): 0.4056 states/eV/atom

```
data_BaSb7
_chemical_formula_sum 'Ba4 Sb28'
_cell_length_a 9.777
_cell_length_b 9.777
_cell_length_c 9.777
_cell_angle_alpha 90.00
_cell_angle_beta 90.00
_cell_angle_gamma 90.00
_space_group_name_H-M_alt 'F m -3 m'
_space_group_IT_number 225
_space_group_name_Hall '-F 4 2 3'
loop_
_atom_site_label
_atom_site_fract_x
_atom_site_fract_y
_atom_site_fract_z
Ba1 0.000 0.000 0.000
Sb1 0.000 0.000 0.500
Sb2 0.000 0.250 0.250
```

---

No. 7
A geometry-optimized Ba2Sb structure. Source: Alexandria via LeMat-Bulk, functional PBE.

## Properties
calculated volume: 47.07 Å³ per atom
size of the total moment: 0.959 μB/f.u.
total DFT energy (no corrections): -3.405 eV/atom
N(E_F): 0.7034 states/eV/atom

```
data_Ba2Sb
_chemical_formula_sum 'Ba8 Sb4'
_cell_length_a 13.400
_cell_length_b 4.901
_cell_length_c 9.682
_cell_angle_alpha 90.00
_cell_angle_beta 117.34
_cell_angle_gamma 90.00
_space_group_name_H-M_alt 'C 1 2/m 1'
_space_group_IT_number 12
loop_
_space_group_symop_operation_xyz
'x,y,z'
'-x,-y,-z'
'-x,y,-z'
'x,-y,z'
'x+1/2,y+1/2,z'
'-x+1/2,-y+1/2,-z'
'-x+1/2,y+1/2,-z'
'x+1/2,-y+1/2,z'
loop_
_atom_site_label
_atom_site_fract_x
_atom_site_fract_y
_atom_site_fract_z
Ba1 0.079 0.000 0.384
Ba2 0.168 0.500 0.069
Sb1 0.162 0.500 0.689
```

---

No. 8
A geometry-optimized BaSb structure. Source: Alexandria via LeMat-Bulk, functional PBE.

## Properties
calculated volume: 42.99 Å³ per atom
size of the total moment: 0.000 μB/f.u.
total DFT energy (no corrections): -3.957 eV/atom

```
data_BaSb
_chemical_formula_sum 'Ba8 Sb8'
_cell_length_a 6.602
_cell_length_b 9.355
_cell_length_c 11.136
_cell_angle_alpha 90.00
_cell_angle_beta 90.00
_cell_angle_gamma 90.00
_space_group_name_H-M_alt 'P b c a'
_space_group_IT_number 61
loop_
_space_group_symop_operation_xyz
'x,y,z'
'-x,-y,-z'
'-x+1/2,-y,z+1/2'
'x+1/2,y,-z+1/2'
'x+1/2,-y+1/2,-z'
'-x+1/2,y+1/2,z'
'-x,y+1/2,-z+1/2'
'x,-y+1/2,z+1/2'
loop_
_atom_site_label
_atom_site_fract_x
_atom_site_fract_y
_atom_site_fract_z
Ba1 0.132 0.193 0.119
Sb1 0.137 0.022 0.399
```